(1)
Density functional theory data (PBE) for an optimized crystal structure of Co2N.

Output
For the theoretical density, the calculation gives 7.94 g cm⁻³. The symmetry is P4_2/mnm, No. 136. Its total energy is -7.443 eV/atom. The total magnetization is 0.0 Bohr magnetons per cell.

Lattice parameters (Å, degrees): 4.4137 4.4137 2.8322 90.00 90.00 90.00
Fractional positions:
Co: 0.2989 0.2989 0.0000
Co: 0.7011 0.7011 0.0000
Co: 0.7989 0.2011 0.5000
Co: 0.2011 0.7989 0.5000
N: 0.0000 0.0000 0.0000
N: 0.5000 0.5000 0.5000

=====

(2)
Density functional theory data (PBE) for an optimized crystal structure of Co4N.

Output
For the theoretical density, the calculation gives 8.06 g cm⁻³. The symmetry is Pm-3m, No. 221. Its total energy is -7.267 eV/atom. The total magnetization is 6.3 Bohr magnetons per cell.

Lattice parameters (Å, degrees): 3.7196 3.7196 3.7196 90.00 90.00 90.00
Last column: magnetic moment on the atom in μB.
Fractional positions:
Co: 0.5000 0.0000 0.0000  1.78
Co: 0.0000 0.5000 0.0000  1.39
Co: 0.0000 0.0000 0.5000  1.24
Co: 0.5000 0.5000 0.5000  1.92
N: 0.0000 0.0000 0.0000  0.10

=====

(3)
Density functional theory data (PBE) for an optimized crystal structure of Co5N.

Output
For the theoretical density, the calculation gives 6.96 g cm⁻³. The symmetry is P6/mmm, No. 191. Its total energy is -6.167 eV/atom. The total magnetization is 10.4 Bohr magnetons per cell.

Lattice parameters (Å, degrees): 4.4926 4.4926 4.2144 90.00 90.00 120.00
Last column: magnetic moment on the atom in μB.
Fractional positions:
Co: 0.6667 0.3333 0.0000  1.86
Co: 0.3333 0.6667 0.0000  1.86
Co: 0.5000 0.0000 0.5000  1.91
Co: 0.0000 0.5000 0.5000  1.77
Co: 0.5000 0.5000 0.5000  2.04
N: 0.0000 0.0000 0.0000  0.74